Entry 1
First-principles (PBE) data for crystalline Mg4CuIr at its relaxed geometry, as listed in the Alexandria database.

a = 3.2420 Å, b = 3.2420 Å, c = 9.8881 Å
α = 90.00°, β = 90.00°, γ = 90.00°
Last column: nearest neighbours and their distance in Å.
Positions (direct):
Mg (0.5000, 0.5000, 0.8559)  4 Ir 2.70, 1 Mg 2.85
Mg (0.5000, 0.5000, 0.1441)  4 Ir 2.70, 1 Mg 2.85
Mg (0.0000, 0.0000, 0.6500)  4 Cu 2.73, 1 Mg 2.97
Mg (0.0000, 0.0000, 0.3500)  4 Cu 2.73, 1 Mg 2.97
Cu (0.5000, 0.5000, 0.5000)  8 Mg 2.73
Ir (0.0000, 0.0000, 0.0000)  8 Mg 2.70

Computed properties:
space-group type	P4/mmm, No. 123
volume	17.32	Å³ per atom
M_tot	0.000	μB/atom

Entry 2
First-principles (PBE) data for crystalline Mg4CuIr at its relaxed geometry, as listed in the Alexandria database.

a = 5.3218 Å, b = 5.3218 Å, c = 5.3218 Å
α = 60.00°, β = 60.00°, γ = 60.00°
Last column: nearest neighbours and their distance in Å.
Positions (direct):
Mg (0.8757, 0.3748, 0.3748)  6 Mg 2.66-2.67
Mg (0.3748, 0.3748, 0.8757)  6 Mg 2.66-2.67
Mg (0.3748, 0.8757, 0.3748)  6 Mg 2.66-2.67
Mg (0.3748, 0.3748, 0.3748)  6 Mg 2.66-2.67
Cu (0.7500, 0.7500, 0.7500)  12 Mg 3.12, 4 Ir 3.26
Ir (0.0000, 0.0000, 0.0000)  12 Mg 3.12, 4 Cu 3.26

Computed properties:
space-group type	F-43m, No. 216
volume	17.76	Å³ per atom
M_tot	0.000	μB/atom

Least stable structure: entry 2